Material: LaReCl2
Method: DFT, PBE
State: optimized geometry

The value obtained for the raw formation energy is -0.163 eV/atom. For the polymorph energy (0 for the lowest one), the calculation gives 308 meV per atom. Its mass density is 6.840 g/cm3. The symmetry is Cm, No. 8. The electronic total energy is -5.43 eV per atom. The crystal system is monoclinic.

a b c (Å): 7.2019 7.2019 4.2409
angles (deg): 99.45 99.45 26.32
Last column: nearest neighbours and their distance in Å.
Fractional coordinates of all 4 atoms:
La 0.0000 0.0000 0.0000  2 Re 2.84, 6 Cl 3.00-3.07
Re 0.6676 0.6676 0.0967  4 Cl 2.68-2.69, 2 La 2.84
Cl 0.1596 0.1596 0.5912  4 Re 2.68-2.69
Cl 0.4025 0.4025 0.4467  4 La 3.00, 2 Cl 3.28